Here is crystalline CuTcPt4 at its relaxed geometry from the Alexandria database. Energies are from GGA-PBE.

Cell: 2.7609 2.7609 11.6842 Å, 90.00 90.00 90.00°
Positions (direct):
Cu 0.0000 0.0000 0.0000
Tc 0.5000 0.5000 0.5000
Pt 0.0000 0.0000 0.3363
Pt 0.0000 0.0000 0.6637
Pt 0.5000 0.5000 0.1572
Pt 0.5000 0.5000 0.8428

Properties
The energy of formation is -0.174 eV per atom. As for the symmetry: No. 123. The density of states at the Fermi level is 0.552 states/eV per atom. As for the relative energy among the computed polymorphs: 0.0 meV/atom.